This record from the Alexandria database describes a geometry-optimized PdF6 structure. The functional is PBE.

a = 5.0061 Å, b = 8.7264 Å, c = 9.2969 Å
α = 90.00°, β = 90.00°, γ = 90.00°
Last column: magnetic moment on the atom in μB.
Element x y z (fractional)
F  0.2297  0.7500  0.4874  0.20
F  0.7663  0.5965  0.4934  0.21
F  0.2337  0.4035  0.5066  0.21
F  0.7337  0.9035  0.9934  0.21
F  0.4359  0.9030  0.7535  0.20
F  0.1011  0.2500  0.2399  0.21
F  0.0641  0.9030  0.2535  0.20
F  0.5641  0.4030  0.2465  0.20
F  0.2703  0.7500  0.9874  0.20
F  0.7703  0.2500  0.5126  0.20
F  0.6011  0.7500  0.2601  0.21
F  0.5641  0.0970  0.2465  0.20
F  0.7663  0.9035  0.4934  0.21
F  0.0641  0.5970  0.2535  0.20
F  0.2663  0.0965  0.0066  0.21
F  0.7337  0.5965  0.9934  0.21
F  0.3989  0.2500  0.7399  0.21
F  0.7297  0.2500  0.0126  0.20
F  0.9359  0.4030  0.7465  0.20
F  0.8989  0.7500  0.7601  0.21
F  0.9359  0.0970  0.7465  0.20
F  0.2663  0.4035  0.0066  0.21
F  0.4359  0.5970  0.7535  0.20
F  0.2337  0.0965  0.5066  0.21
Pd  0.4159  0.2500  0.1263  0.66
Pd  0.0841  0.2500  0.6263  0.66
Pd  0.9159  0.7500  0.3737  0.66
Pd  0.5841  0.7500  0.8737  0.66

Computed properties:
The crystal system is orthorhombic. The value obtained for the energy relative to the elements, uncorrected is -5.83 eV per formula unit. For the size of the total moment, the calculation gives 0.292 μB per atom.